Entry 1:
! SrIn2Ru | Alexandria via LeMat-Bulk | PBE | relaxed; values from VASP
&SYSTEM
  ibrav = 0, nat = 4, ntyp = 3
/
ATOMIC_SPECIES
Sr 87.62 Sr.upf
In 114.82 In.upf
Ru 101.07 Ru.upf
CELL_PARAMETERS angstrom
3.590 0.000 0.000
0.000 3.590 0.000
0.000 0.000 7.756
ATOMIC_POSITIONS crystal
Sr 0.000 0.000 0.000
In 0.000 0.000 0.586
In 0.500 0.500 0.335
Ru 0.500 0.500 0.715
! Magnetic moment = 0.00 μB/f.u.
! Calculated density = 6.95 g cm⁻³
! E_tot = -4.077 eV per atom

---

Entry 2:
! Tb2SmPu | Alexandria via LeMat-Bulk | PBE | relaxed; values from VASP
&SYSTEM
  ibrav = 0, nat = 4, ntyp = 3
/
ATOMIC_SPECIES
Tb 158.93 Tb.upf
Sm 150.36 Sm.upf
Pu 244.00 Pu.upf
CELL_PARAMETERS angstrom
5.820 0.000 0.000
0.000 5.820 0.000
0.000 0.000 3.706
ATOMIC_POSITIONS crystal
Tb 0.000 0.500 0.000
Tb 0.500 0.000 0.000
Sm 0.000 0.000 0.500
Pu 0.500 0.500 0.500
! Magnetic moment = 7.26 μB/f.u.
! Calculated density = 9.42 g cm⁻³
! Energy above the lowest structure with this stoichiometry = 90 meV/atom
! E_tot = -6.886 eV per atom

---

Entry 3:
! Nd2SmRh | Alexandria via LeMat-Bulk | PBE | relaxed; values from VASP
&SYSTEM
  ibrav = 0, nat = 16, ntyp = 3
/
ATOMIC_SPECIES
Nd 144.24 Nd.upf
Sm 150.36 Sm.upf
Rh 102.91 Rh.upf
CELL_PARAMETERS angstrom
7.326 0.000 0.000
0.000 9.964 0.000
0.000 0.000 6.444
ATOMIC_POSITIONS crystal
Nd 0.177 0.066 0.169
Nd 0.177 0.434 0.169
Nd 0.323 0.566 0.669
Nd 0.323 0.934 0.669
Nd 0.677 0.066 0.331
Nd 0.677 0.434 0.331
Nd 0.823 0.566 0.831
Nd 0.823 0.934 0.831
Sm 0.036 0.250 0.648
Sm 0.464 0.750 0.148
Sm 0.536 0.250 0.852
Sm 0.964 0.750 0.352
Rh 0.122 0.750 0.938
Rh 0.378 0.250 0.438
Rh 0.622 0.750 0.562
Rh 0.878 0.250 0.062
! Magnetic moment = 0.00 μB/f.u.
! Calculated density = 7.65 g cm⁻³
! Energy above the lowest structure with this stoichiometry = 0 meV/atom
! E_tot = -5.833 eV per atom

---

Entry 4:
! Hf2CuPb | Alexandria via LeMat-Bulk | PBE | relaxed; values from VASP
&SYSTEM
  ibrav = 0, nat = 4, ntyp = 3
/
ATOMIC_SPECIES
Hf 178.49 Hf.upf
Cu 63.55 Cu.upf
Pb 207.20 Pb.upf
CELL_PARAMETERS angstrom
4.344 0.000 0.000
0.000 4.344 0.000
0.000 0.000 4.261
ATOMIC_POSITIONS crystal
Hf 0.000 0.500 0.000
Hf 0.500 0.000 0.000
Cu 0.000 0.000 0.500
Pb 0.500 0.500 0.500
! Magnetic moment = 0.00 μB/f.u.
! Calculated density = 12.96 g cm⁻³
! E_tot = -6.892 eV per atom

---

Entry 5:
! PaPd4Pt | Alexandria via LeMat-Bulk | PBE | relaxed; values from VASP
&SYSTEM
  ibrav = 0, nat = 6, ntyp = 3
/
ATOMIC_SPECIES
Pa 231.04 Pa.upf
Pd 106.42 Pd.upf
Pt 195.08 Pt.upf
CELL_PARAMETERS angstrom
0.000 3.733 3.733
3.733 0.000 3.733
3.733 3.733 0.000
ATOMIC_POSITIONS crystal
Pa 0.000 0.000 0.000
Pd 0.375 0.375 0.375
Pd 0.375 0.375 0.874
Pd 0.375 0.874 0.375
Pd 0.874 0.375 0.375
Pt 0.750 0.750 0.750
! Magnetic moment = 0.00 μB/f.u.
! Calculated density = 13.60 g cm⁻³
! Energy above the lowest structure with this stoichiometry = 149 meV/atom
! E_tot = -6.607 eV per atom

---

Entry 6:
! Nb2PSe | Alexandria via LeMat-Bulk | PBE | relaxed; values from VASP
&SYSTEM
  ibrav = 0, nat = 4, ntyp = 3
/
ATOMIC_SPECIES
Nb 92.91 Nb.upf
P 30.97 P.upf
Se 78.96 Se.upf
CELL_PARAMETERS angstrom
0.000 3.181 3.181
3.181 0.000 3.181
3.181 3.181 0.000
ATOMIC_POSITIONS crystal
Nb 0.250 0.250 0.250
Nb 0.750 0.750 0.750
P 0.000 0.000 0.000
Se 0.500 0.500 0.500
! Raw formation energy = -494 meV/atom
! Magnetic moment = 0.00 μB/f.u.
! Calculated density = 7.63 g cm⁻³
! Energy above the lowest structure with this stoichiometry = 0 meV/atom
! E_tot = -7.753 eV per atom

---

Entry 7:
! Rb2LiHf2 | Alexandria via LeMat-Bulk | PBE | relaxed; values from VASP
&SYSTEM
  ibrav = 0, nat = 10, ntyp = 3
/
ATOMIC_SPECIES
Rb 85.47 Rb.upf
Li 6.94 Li.upf
Hf 178.49 Hf.upf
CELL_PARAMETERS angstrom
11.600 0.000 0.000
0.000 11.600 0.000
0.000 0.000 3.210
ATOMIC_POSITIONS crystal
Rb 0.206 0.294 0.000
Rb 0.294 0.794 0.000
Rb 0.706 0.206 0.000
Rb 0.794 0.706 0.000
Li 0.000 0.000 0.500
Li 0.500 0.500 0.500
Hf 0.079 0.579 0.500
Hf 0.421 0.079 0.500
Hf 0.579 0.921 0.500
Hf 0.921 0.421 0.500
! Magnetic moment = 0.85 μB/f.u.
! Calculated density = 4.11 g cm⁻³
! Energy above the lowest structure with this stoichiometry = 0 meV/atom
! E_tot = -3.536 eV per atom

---

Entry 8:
! La2Pr3Er4 | Alexandria via LeMat-Bulk | PBE | relaxed; values from VASP
&SYSTEM
  ibrav = 0, nat = 9, ntyp = 3
/
ATOMIC_SPECIES
La 138.91 La.upf
Pr 140.91 Pr.upf
Er 167.26 Er.upf
CELL_PARAMETERS angstrom
3.632 0.000 0.000
-1.816 3.146 0.000
0.000 0.000 27.015
ATOMIC_POSITIONS crystal
La 0.000 0.000 0.000
La 0.000 0.000 0.231
Pr 0.000 0.000 0.784
Pr 0.333 0.667 0.119
Pr 0.333 0.667 0.464
Er 0.000 0.000 0.358
Er 0.000 0.000 0.574
Er 0.333 0.667 0.675
Er 0.333 0.667 0.892
! Magnetic moment = 0.00 μB/f.u.
! Calculated density = 7.37 g cm⁻³
! Energy above the lowest structure with this stoichiometry = 40 meV/atom
! E_tot = -4.650 eV per atom

---

Repeat the second record exactly.
! Tb2SmPu | Alexandria via LeMat-Bulk | PBE | relaxed; values from VASP
&SYSTEM
  ibrav = 0, nat = 4, ntyp = 3
/
ATOMIC_SPECIES
Tb 158.93 Tb.upf
Sm 150.36 Sm.upf
Pu 244.00 Pu.upf
CELL_PARAMETERS angstrom
5.820 0.000 0.000
0.000 5.820 0.000
0.000 0.000 3.706
ATOMIC_POSITIONS crystal
Tb 0.000 0.500 0.000
Tb 0.500 0.000 0.000
Sm 0.000 0.000 0.500
Pu 0.500 0.500 0.500
! Magnetic moment = 7.26 μB/f.u.
! Calculated density = 9.42 g cm⁻³
! Energy above the lowest structure with this stoichiometry = 90 meV/atom
! E_tot = -6.886 eV per atom

---

> Number 5 is which compound?

PaPd4Pt